# 1
# NdPaTe2N (PBE, relaxed)
data_NdPaTe2N
_space_group_name_H-M_alt 'P 1'
_space_group_IT_number 1
_cell_length_a 4.1052
_cell_length_b 4.1052
_cell_length_c 16.5774
_cell_angle_alpha 90.00
_cell_angle_beta 90.00
_cell_angle_gamma 90.00
loop_
_space_group_symop_operation_xyz
'x,y,z'
loop_
_atom_site_label
_atom_site_fract_x
_atom_site_fract_y
_atom_site_fract_z
Nd1 0.2500 0.2500 0.1405
Nd2 0.7500 0.7500 0.8595
Pa1 0.2500 0.2500 0.5664
Pa2 0.7500 0.7500 0.4336
Te1 0.2500 0.2500 0.3270
Te2 0.2500 0.2500 0.9219
Te3 0.7500 0.7500 0.0781
Te4 0.7500 0.7500 0.6730
N1 0.2500 0.7500 0.5000
N2 0.7500 0.2500 0.5000
# * uncorrected formation energy: -1426 meV/atom
# * crystal system: tetragonal
# * M_tot: 0.72 μB/f.u.
# * space group: P4/nmm (129)

# 2
# Cd2GaAgS4 (PBE, relaxed)
data_Cd2GaAgS4
_space_group_name_H-M_alt 'P 1'
_space_group_IT_number 1
_cell_length_a 6.9640
_cell_length_b 6.9640
_cell_length_c 6.9640
_cell_angle_alpha 130.22
_cell_angle_beta 130.22
_cell_angle_gamma 73.05
loop_
_space_group_symop_operation_xyz
'x,y,z'
loop_
_atom_site_label
_atom_site_fract_x
_atom_site_fract_y
_atom_site_fract_z
Cd1 0.2500 0.7500 0.5000
Cd2 0.7500 0.2500 0.5000
Ga1 0.0000 0.0000 0.0000
Ag1 0.5000 0.5000 0.0000
S1 0.1141 0.1141 0.4608
S2 0.3467 0.8859 0.0000
S3 0.6533 0.6533 0.5392
S4 0.8859 0.3467 0.0000
# * uncorrected formation energy: -573 meV/atom
# * crystal system: tetragonal
# * M_tot: 0.00 μB/f.u.
# * space group: I-42m (121)

# 3
# KTcOs2 (PBE, relaxed)
data_KTcOs2
_space_group_name_H-M_alt 'P 1'
_space_group_IT_number 1
_cell_length_a 5.2078
_cell_length_b 2.5904
_cell_length_c 5.4273
_cell_angle_alpha 90.00
_cell_angle_beta 113.07
_cell_angle_gamma 90.00
loop_
_space_group_symop_operation_xyz
'x,y,z'
loop_
_atom_site_label
_atom_site_fract_x
_atom_site_fract_y
_atom_site_fract_z
K1 0.0000 0.0000 0.0000
Tc1 0.5000 0.5000 0.0000
Os1 0.0000 0.5000 0.5000
Os2 0.5000 0.0000 0.5000
# * relative energy among the computed polymorphs: 19.22 kcal/mol of atoms
# * crystal system: monoclinic
# * M_tot: 1.25 μB/f.u.
# * space group: P2/m (10)

# 4
# Ce3Cu9Ni2 (PBE, relaxed)
data_Ce3Cu9Ni2
_space_group_name_H-M_alt 'P 1'
_space_group_IT_number 1
_cell_length_a 7.7231
_cell_length_b 7.7231
_cell_length_c 7.7231
_cell_angle_alpha 148.32
_cell_angle_beta 109.66
_cell_angle_gamma 79.20
loop_
_space_group_symop_operation_xyz
'x,y,z'
loop_
_atom_site_label
_atom_site_fract_x
_atom_site_fract_y
_atom_site_fract_z
Ce1 0.0000 0.0000 0.0000
Ce2 0.3058 0.3058 0.0000
Ce3 0.6942 0.6942 0.0000
Cu1 0.0224 0.6677 0.3547
Cu2 0.1600 0.8816 0.2784
Cu3 0.3131 0.6677 0.6453
Cu4 0.3968 0.1184 0.2784
Cu5 0.5000 0.0000 0.5000
Cu6 0.6032 0.8816 0.7216
Cu7 0.6869 0.3323 0.3547
Cu8 0.8400 0.1184 0.7216
Cu9 0.9776 0.3323 0.6453
Ni1 0.3231 0.5000 0.8231
Ni2 0.6769 0.5000 0.1769
# * crystal system: orthorhombic
# * M_tot: 1.31 μB/f.u.
# * VASP energy: -4.876 eV/atom
# * space group: Immm (71)

# 5
# RbLiCr2Ru (PBE, relaxed)
data_RbLiCr2Ru
_space_group_name_H-M_alt 'P 1'
_space_group_IT_number 1
_cell_length_a 4.9837
_cell_length_b 4.9837
_cell_length_c 4.2386
_cell_angle_alpha 90.00
_cell_angle_beta 90.00
_cell_angle_gamma 90.00
loop_
_space_group_symop_operation_xyz
'x,y,z'
loop_
_atom_site_label
_atom_site_fract_x
_atom_site_fract_y
_atom_site_fract_z
Rb1 0.0000 0.0000 0.0000
Li1 0.0000 0.0000 0.5000
Cr1 0.0000 0.5000 0.0000
Cr2 0.5000 0.0000 0.0000
Ru1 0.5000 0.5000 0.5000
# * crystal system: tetragonal
# * M_tot: 9.55 μB/f.u.
# * VASP energy: -3.873 eV/atom
# * space group: P4/mmm (123)

# 6
# MgTa2Os (PBE, relaxed)
data_MgTa2Os
_space_group_name_H-M_alt 'P 1'
_space_group_IT_number 1
_cell_length_a 2.8547
_cell_length_b 4.4329
_cell_length_c 5.5612
_cell_angle_alpha 90.00
_cell_angle_beta 103.51
_cell_angle_gamma 90.00
loop_
_space_group_symop_operation_xyz
'x,y,z'
loop_
_atom_site_label
_atom_site_fract_x
_atom_site_fract_y
_atom_site_fract_z
Mg1 0.0000 0.0000 0.0000
Ta1 0.2653 0.5000 0.7353
Ta2 0.7347 0.5000 0.2647
Os1 0.5000 0.0000 0.5000
# * crystal system: monoclinic
# * M_tot: 0.00 μB/f.u.
# * VASP energy: -9.040 eV/atom
# * space group: P2/m (10)